# 1
Density functional theory data (PBE) for PmTiPt2 after structural relaxation.

As for the total DFT energy (no corrections): -85.891 eV per cell. As for the crystal system: trigonal. The value obtained for the density of states at the Fermi level is 0.850 states/eV/atom. The calculation puts the distance to the lowest polymorph of the same formula at 0 meV/atom.

Unit cell a=4.4206 b=4.4206 c=14.8293 alpha=90.00 beta=90.00 gamma=120.00
Space group R-3m (No. 166, hexagonal axes)
One atom of each set of equivalent atoms:
Pm (0.0000, 0.0000, 0.0000)
Ti (0.0000, 0.0000, 0.5000)
Pt (0.0000, 0.0000, 0.2113)



# 2
Density functional theory data (PBE) for NaSrTa3 after structural relaxation.

As for the total DFT energy (no corrections): -24.085 eV per cell. As for the crystal system: cubic. The value obtained for the density of states at the Fermi level is 2.382 states/eV/atom. The calculation puts the distance to the lowest polymorph of the same formula at 635 meV/atom.

Unit cell a=5.022 b=5.022 c=5.022 alpha=90.00 beta=90.00 gamma=90.00
Space group Pm-3m (No. 221)
One atom of each set of equivalent atoms:
Na (0.000, 0.000, 0.000)
Sr (0.500, 0.500, 0.500)
Ta (0.000, 0.500, 0.500)